(1)
# Pr3Zn2Pt3 GGA-PBE optimized geometry
# **Energy above the lowest structure with this stoichiometry**: 0.000 eV/atom
# **ΔE_f**: -0.89 eV per atom
data_Pr3Zn2Pt3
_cell_length_a 4.1885
_cell_length_b 11.9231
_cell_length_c 14.5648
_cell_angle_alpha 90.00
_cell_angle_beta 90.00
_cell_angle_gamma 90.00
_symmetry_space_group_name_H-M 'C m c m'
_symmetry_Int_Tables_number 63
_symmetry_space_group_name_Hall '-C 2c 2'
loop_
_atom_site_label
_atom_site_type_symbol
_atom_site_fract_x
_atom_site_fract_y
_atom_site_fract_z
Pr1 Pr 0.0000 0.0797 0.1082
Pr2 Pr 0.0000 0.3494 0.2500
Zn1 Zn 0.0000 0.2233 0.5842
Pt1 Pt 0.0000 0.3351 0.7500
Pt2 Pt 0.0000 0.3958 0.0454

(2)
# PrZn2Pt5 GGA-PBE optimized geometry
# **ΔE_f**: -0.59 eV per atom
data_PrZn2Pt5
_cell_length_a 3.9221
_cell_length_b 7.1716
_cell_length_c 10.1643
_cell_angle_alpha 90.00
_cell_angle_beta 90.00
_cell_angle_gamma 90.00
_symmetry_space_group_name_H-M 'I m m m'
_symmetry_Int_Tables_number 71
_symmetry_space_group_name_Hall '-I 2 2'
loop_
_atom_site_label
_atom_site_type_symbol
_atom_site_fract_x
_atom_site_fract_y
_atom_site_fract_z
Pr1 Pr 0.0000 0.0000 0.0000
Zn1 Zn 0.0000 0.5000 0.2457
Pt1 Pt 0.0000 0.1977 0.3599
Pt2 Pt 0.0000 0.5000 0.0000

(3)
# Pr4Zn3Pt GGA-PBE optimized geometry
# **ΔE_f**: -0.48 eV per atom
data_Pr4Zn3Pt
_cell_length_a 3.7157
_cell_length_b 3.7157
_cell_length_c 14.6444
_cell_angle_alpha 90.00
_cell_angle_beta 90.00
_cell_angle_gamma 90.00
_symmetry_space_group_name_H-M 'P 4/m m m'
_symmetry_Int_Tables_number 123
_symmetry_space_group_name_Hall '-P 4 2'
loop_
_atom_site_label
_atom_site_type_symbol
_atom_site_fract_x
_atom_site_fract_y
_atom_site_fract_z
Pr1 Pr 0.0000 0.0000 0.1179
Pr2 Pr 0.0000 0.0000 0.3735
Zn1 Zn 0.5000 0.5000 0.2506
Zn2 Zn 0.5000 0.5000 0.5000
Pt1 Pt 0.5000 0.5000 0.0000

(4)
# PrZn4Pt GGA-PBE optimized geometry
# **Energy above the lowest structure with this stoichiometry**: 0.006 eV/atom
# **ΔE_f**: -0.34 eV per atom
data_PrZn4Pt
_cell_length_a 7.4941
_cell_length_b 7.4941
_cell_length_c 7.4941
_cell_angle_alpha 90.00
_cell_angle_beta 90.00
_cell_angle_gamma 90.00
_symmetry_space_group_name_H-M 'F -4 3 m'
_symmetry_Int_Tables_number 216
_symmetry_space_group_name_Hall 'F -4 2 3'
loop_
_atom_site_label
_atom_site_type_symbol
_atom_site_fract_x
_atom_site_fract_y
_atom_site_fract_z
Pr1 Pr 0.0000 0.0000 0.0000
Zn1 Zn 0.1235 0.1235 0.6235
Pt1 Pt 0.2500 0.2500 0.2500

(5)
# Pr3Zn9Pt2 GGA-PBE optimized geometry
# **ΔE_f**: -0.50 eV per atom
data_Pr3Zn9Pt2
_cell_length_a 4.3488
_cell_length_b 9.1661
_cell_length_c 13.3497
_cell_angle_alpha 90.00
_cell_angle_beta 90.00
_cell_angle_gamma 90.00
_symmetry_space_group_name_H-M 'I m m m'
_symmetry_Int_Tables_number 71
_symmetry_space_group_name_Hall '-I 2 2'
loop_
_atom_site_label
_atom_site_type_symbol
_atom_site_fract_x
_atom_site_fract_y
_atom_site_fract_z
Pr1 Pr 0.0000 0.0000 0.0000
Pr2 Pr 0.0000 0.0000 0.3103
Zn1 Zn 0.0000 0.2818 0.1257
Zn2 Zn 0.0000 0.3580 0.3270
Zn3 Zn 0.0000 0.5000 0.0000
Pt1 Pt 0.0000 0.2186 0.5000

(6)
# Pr8ZnPt2 GGA-PBE optimized geometry
# **ΔE_f**: -0.35 eV per atom
data_Pr8ZnPt2
_cell_length_a 8.7973
_cell_length_b 13.7837
_cell_length_c 5.9142
_cell_angle_alpha 90.00
_cell_angle_beta 105.79
_cell_angle_gamma 90.00
_symmetry_space_group_name_H-M 'C 1 m 1'
_symmetry_Int_Tables_number 8
_symmetry_space_group_name_Hall 'C -2y'
loop_
_atom_site_label
_atom_site_type_symbol
_atom_site_fract_x
_atom_site_fract_y
_atom_site_fract_z
Pr1 Pr 0.0000 0.0000 0.0000
Pr2 Pr 0.0850 0.3749 0.7697
Pr3 Pr 0.1672 0.1251 0.5904
Pr4 Pr 0.2583 0.5000 0.3735
Pr5 Pr 0.3724 0.2355 0.1856
Zn1 Zn 0.3754 0.0000 0.2749
Pt1 Pt 0.3761 0.3021 0.6854